Here is USbPt after structural relaxation from the Alexandria database. Energies are from GGA-PBE.

```
USbPt
1.0
4.4724 0.0000 0.0000
-2.2362 3.8732 0.0000
0.0000 0.0000 4.0281
U Sb Pt
1 1 1
Direct
0.0000 0.0000 0.0000
0.3333 0.6667 0.4681
0.6667 0.3333 0.6474
```

For the density of states at the Fermi level, the calculation gives 6.66 states/eV/cell. Its raw total energy is -7.6627 eV/atom. The size of the total moment comes out at 2.35 μB per cell.



Here is CaZn3W after structural relaxation from the Alexandria database. Energies are from GGA-PBE.

```
CaZn3W
1.0
4.9216 0.0000 0.0000
0.0000 4.9216 0.0000
0.0000 0.0000 4.9216
Ca Zn W
1 3 1
Direct
0.0000 0.0000 0.0000
0.0000 0.5000 0.5000
0.5000 0.0000 0.5000
0.5000 0.5000 0.0000
0.5000 0.5000 0.5000
```

For the density of states at the Fermi level, the calculation gives 4.62 states/eV/cell. The energy above the most stable polymorph in this dataset comes out at 0.000 eV per atom. The value obtained for the formation energy is 265.3 kJ/mol of formula units. The size of the total moment comes out at 0.00 μB per cell.



Here is Tl3Pb5Cl12 after structural relaxation from the Alexandria database. Energies are from GGA-PBE.

```
Tl3Pb5Cl12
1.0
-9.0274 9.0274 9.0274
9.0274 -9.0274 9.0274
9.0274 9.0274 -9.0274
Tl Pb Cl
12 20 48
Direct
0.1250 0.2500 0.3750
0.1250 0.3750 0.7500
0.2500 0.3750 0.1250
0.2500 0.8750 0.6250
0.3750 0.1250 0.2500
0.3750 0.7500 0.1250
0.6250 0.2500 0.8750
0.6250 0.8750 0.7500
0.7500 0.1250 0.3750
0.7500 0.6250 0.8750
0.8750 0.6250 0.2500
0.8750 0.7500 0.6250
0.0000 0.0000 0.0000
0.0000 0.0000 0.5000
0.0000 0.5000 0.0000
0.0000 0.5000 0.5000
0.1250 0.7500 0.8750
0.1250 0.8750 0.2500
0.2500 0.1250 0.8750
0.2500 0.6250 0.3750
0.3750 0.2500 0.6250
0.3750 0.6250 0.7500
0.5000 0.0000 0.0000
0.5000 0.0000 0.5000
0.5000 0.5000 0.0000
0.5000 0.5000 0.5000
0.6250 0.3750 0.2500
0.6250 0.7500 0.3750
0.7500 0.3750 0.6250
0.7500 0.8750 0.1250
0.8750 0.1250 0.7500
0.8750 0.2500 0.1250
0.0363 0.2110 0.1192
0.0363 0.3253 0.9171
0.0829 0.6192 0.4083
0.0829 0.9637 0.6747
0.0917 0.7110 0.6747
0.0917 0.8808 0.4171
0.1192 0.0363 0.2110
0.1192 0.5829 0.9083
0.1747 0.2110 0.5917
0.1747 0.4637 0.5829
0.2110 0.1192 0.0363
0.2110 0.5917 0.1747
0.2890 0.3253 0.9083
0.2890 0.4637 0.3808
0.3253 0.9083 0.2890
0.3253 0.9171 0.0363
0.3808 0.2890 0.4637
0.3808 0.5917 0.9171
0.4083 0.0829 0.6192
0.4083 0.8253 0.7890
0.4171 0.0917 0.8808
0.4171 0.8253 0.5363
0.4637 0.3808 0.2890
0.4637 0.5829 0.1747
0.5363 0.4171 0.8253
0.5363 0.6192 0.7110
0.5829 0.1747 0.4637
0.5829 0.9083 0.1192
0.5917 0.1747 0.2110
0.5917 0.9171 0.3808
0.6192 0.4083 0.0829
0.6192 0.7110 0.5363
0.6747 0.0829 0.9637
0.6747 0.0917 0.7110
0.7110 0.5363 0.6192
0.7110 0.6747 0.0917
0.7890 0.4083 0.8253
0.7890 0.8808 0.9637
0.8253 0.5363 0.4171
0.8253 0.7890 0.4083
0.8808 0.4171 0.0917
0.8808 0.9637 0.7890
0.9083 0.1192 0.5829
0.9083 0.2890 0.3253
0.9171 0.0363 0.3253
0.9171 0.3808 0.5917
0.9637 0.6747 0.0829
0.9637 0.7890 0.8808
```

For the density of states at the Fermi level, the calculation gives 32.10 states/eV/cell. Its raw total energy is -3.3660 eV/atom. The size of the total moment comes out at 0.00 μB per cell.



Here is Mg2CrRe after structural relaxation from the Alexandria database. Energies are from GGA-PBE.

```
Mg2CrRe
1.0
2.6274 0.0000 0.0000
0.0000 4.4872 0.0000
0.0000 0.0000 5.2427
Mg Cr Re
2 1 1
Direct
0.0000 0.0000 0.2492
0.0000 0.0000 0.7508
0.5000 0.5000 0.0000
0.5000 0.5000 0.5000
```

For the density of states at the Fermi level, the calculation gives 2.71 states/eV/cell. The energy above the most stable polymorph in this dataset comes out at 0.299 eV per atom. The value obtained for the formation energy is 175.9 kJ/mol of formula units. The size of the total moment comes out at 0.00 μB per cell.



Here is HfPaTl2 after structural relaxation from the Alexandria database. Energies are from GGA-PBE.

```
HfPaTl2
1.0
0.0000 3.6894 3.6894
3.6894 0.0000 3.6894
3.6894 3.6894 0.0000
Hf Pa Tl
1 1 2
Direct
0.0000 0.0000 0.0000
0.5000 0.5000 0.5000
0.2500 0.2500 0.2500
0.7500 0.7500 0.7500
```

For the density of states at the Fermi level, the calculation gives 9.16 states/eV/cell. The value obtained for the formation energy is 116.4 kJ/mol of formula units. The size of the total moment comes out at 2.30 μB per cell.



Here is LiSb3H after structural relaxation from the Alexandria database. Energies are from GGA-PBE.

```
LiSb3H
1.0
4.7461 0.0000 0.0000
0.0000 4.7461 0.0000
0.0000 0.0000 4.7461
Li Sb H
1 3 1
Direct
0.0000 0.0000 0.0000
0.0000 0.5000 0.5000
0.5000 0.0000 0.5000
0.5000 0.5000 0.0000
0.5000 0.5000 0.5000
```

For the density of states at the Fermi level, the calculation gives 1.58 states/eV/cell. The energy above the most stable polymorph in this dataset comes out at 0.000 eV per atom. The size of the total moment comes out at 0.00 μB per cell.



Here is Ta2TiCo2 after structural relaxation from the Alexandria database. Energies are from GGA-PBE.

```
Ta2TiCo2
1.0
6.9513 0.0000 0.0000
0.0000 6.9513 0.0000
0.0000 0.0000 3.0874
Ta Ti Co
4 2 4
Direct
0.1734 0.3266 0.0000
0.3266 0.8266 0.0000
0.6734 0.1734 0.0000
0.8266 0.6734 0.0000
0.0000 0.0000 0.5000
0.5000 0.5000 0.5000
0.1268 0.6268 0.5000
0.3732 0.1268 0.5000
0.6268 0.8732 0.5000
0.8732 0.3732 0.5000
```

For the density of states at the Fermi level, the calculation gives 13.75 states/eV/cell. The energy above the most stable polymorph in this dataset comes out at 0.000 eV per atom. The value obtained for the formation energy is -77.0 kJ/mol of formula units. The size of the total moment comes out at 0.00 μB per cell.



The highest size of the total moment belongs to which entry?
USbPt